1.
Here is a relaxed structure of EuAl4Cd from the Alexandria database. Energies are from PBE-GGA.

Values from the calculation:
Formation energy (kJ/mol of atoms): -10.83
Crystal system: cubic
Uncorrected energy (eV/f.u.): -26.8

```
EuAl4Cd
1.0
-4.733 2.588 1.604
-2.217 -1.071 5.061
0.166 3.923 4.032
Eu Al Cd
1 4 1
Cartesian
-1.696 1.360 2.674
-4.318 1.446 4.674
-3.133 3.929 4.162
-4.235 3.396 6.679
-1.882 2.109 5.881
0.000 0.000 0.000
```


2.
Here is a relaxed structure of Dy3In from the Alexandria database. Energies are from PBE-GGA.

Values from the calculation:
Formation energy (kJ/mol of atoms): -25.74
Crystal system: cubic
Uncorrected energy (eV/f.u.): -17.6

```
Dy3In
1.0
4.843 0.000 0.000
0.000 4.843 0.000
0.000 0.000 4.843
In Dy
1 3
Cartesian
0.000 0.000 0.000
2.421 2.421 0.000
0.000 2.421 2.421
2.421 0.000 2.421
```


3.
Here is a relaxed structure of BeCrB2H from the Alexandria database. Energies are from PBE-GGA.

Values from the calculation:
Crystal system: tetragonal
Uncorrected energy (eV/f.u.): -21.0

```
BeCrB2H
1.0
3.832 0.000 0.000
0.000 4.387 0.000
0.000 0.000 3.832
Cr B H Be
1 2 1 1
Cartesian
0.000 0.000 0.000
0.000 0.000 1.916
1.916 0.000 0.000
1.916 2.193 1.916
0.000 2.193 0.000
```


4.
Here is a relaxed structure of NpGa4OsRh2 from the Alexandria database. Energies are from PBE-GGA.

Values from the calculation:
Formation energy (kJ/mol of atoms): -26.27
Crystal system: trigonal
Uncorrected energy (eV/f.u.): -53.2

```
NpGa4OsRh2
1.0
4.243 0.000 0.000
2.121 3.674 0.000
2.121 1.225 8.634
Np Ga Os Rh
1 4 1 2
Cartesian
0.000 0.000 0.000
4.243 2.450 6.909
6.364 3.674 3.417
2.121 1.225 5.217
4.243 2.450 1.725
4.243 2.450 4.317
6.364 3.674 6.148
2.121 1.225 2.487
```


Number 1: Fermi-level density of states 3.3 states/eV/f.u.. Number 2: Fermi-level density of states 6.4 states/eV/f.u.. Number 3: Fermi-level density of states 2.9 states/eV/f.u.. Number 4: Fermi-level density of states 12.3 states/eV/f.u..